1.
The following is a GGA-PBE calculation of crystalline Tb6Te3P2C at its relaxed geometry, from the Alexandria database.

Output
density = 7.8 g/cm3
VASP energy = -6.105 eV per atom
symmetry = C2/m, No. 12
formation energy without anion corrections = -1.334 eV per atom

Unit cell a=7.027 b=7.027 c=7.413 alpha=99.08 beta=99.08 gamma=119.96
Fractional coordinates of all 12 atoms:
1 Tb 0.933 0.624 0.799
2 Tb 0.759 0.759 0.207
3 Tb 0.067 0.376 0.201
4 Tb 0.624 0.933 0.799
5 Tb 0.241 0.241 0.793
6 Tb 0.376 0.067 0.201
7 Te 0.174 0.826 0.500
8 Te 0.826 0.174 0.500
9 Te 0.500 0.500 0.500
10 P 0.334 0.666 0.000
11 P 0.666 0.334 0.000
12 C 0.000 0.000 0.000

2.
The following is a GGA-PBE calculation of crystalline ZrTa2In at its relaxed geometry, from the Alexandria database.

Output
density = 11.7 g/cm3
VASP energy = -8.567 eV per atom
symmetry = Cmmm, No. 65
formation enthalpy at 0 K = 0.18 eV per atom

Unit cell a=2.956 b=2.956 c=9.585 alpha=90.00 beta=90.00 gamma=105.52
Fractional coordinates of all 4 atoms:
1 In 0.500 0.500 0.750
2 Ta 0.000 0.000 0.999
3 Ta 0.000 0.000 0.501
4 Zr 0.500 0.500 0.250

3.
The following is a GGA-PBE calculation of crystalline ZrRu2W at its relaxed geometry, from the Alexandria database.

Output
density = 11.9 g/cm3
VASP energy = -9.976 eV per atom
symmetry = P4mm, No. 99
formation enthalpy at 0 K = 0.04 eV per atom

Unit cell a=3.225 b=3.224 c=6.387 alpha=90.00 beta=90.00 gamma=90.00
Fractional coordinates of all 4 atoms:
1 Ru 0.000 0.000 0.990
2 Ru 0.500 0.500 0.271
3 W 0.000 0.000 0.472
4 Zr 0.500 0.500 0.766

Number 1: Fermi-level density of states 0.270 states/eV/atom. Number 2: Fermi-level density of states 1.123 states/eV/atom. Number 3: Fermi-level density of states 1.141 states/eV/atom.